# 1
DFT (GGA-PBE) results for a relaxed Al2TcCl crystal.

The value obtained for the formation energy from raw total energies is 71 kJ/mol of formula units. For the energy above the lowest structure with this stoichiometry, the calculation gives 605.8 meV per atom. For the total magnetization, the calculation gives 0.00 μB/f.u.

The structure belongs to space group Cmm2 (No. 35); the cell edges are 3.180, 4.871 and 9.400 Å and the angles 90.00°, 90.00° and 90.00°. The asymmetric unit holds Al at (0.000, 0.000, 0.000), Al at (0.000, 0.500, 0.235), Tc at (0.000, 0.500, 0.798) and Cl at (0.000, 0.000, 0.422).



# 2
DFT (GGA-PBE) results for a relaxed BaCa2V crystal.

For the energy above the lowest structure with this stoichiometry, the calculation gives 499.3 meV per atom. As for the energy of formation: 1058 meV per atom. For the total magnetization, the calculation gives 4.99 μB/f.u.

The structure belongs to space group I4_1/amd (No. 141, origin choice 2); the cell edges are 6.599, 6.599 and 19.847 Å and the angles 90.00°, 90.00° and 90.00°. The asymmetric unit holds Ba at (0.000, 0.250, 0.375), Ca at (0.000, 0.000, 0.000) and V at (0.000, 0.250, 0.875).



# 3
DFT (GGA-PBE) results for a relaxed NbAlAu2 crystal.

As for the energy of formation: -118 meV per atom. For the total magnetization, the calculation gives 0.00 μB/f.u.

The structure belongs to space group R3m (No. 160, hexagonal axes); the cell edges are 2.9657, 2.9657 and 27.3417 Å and the angles 90.00°, 90.00° and 120.00°. The asymmetric unit holds Nb at (0.0000, 0.0000, 0.0000), Al at (0.0000, 0.0000, 0.1662), Au at (0.0000, 0.0000, 0.5785) and Au at (0.0000, 0.0000, 0.7547).



# 4
DFT (GGA-PBE) results for a relaxed AcInGaPb crystal.

As for the energy of formation: -244 meV per atom. For the total magnetization, the calculation gives 0.00 μB/f.u.

The structure belongs to space group F-43m (No. 216); the cell edges are 7.815, 7.815 and 7.815 Å and the angles 90.00°, 90.00° and 90.00°. The asymmetric unit holds Ac at (0.000, 0.000, 0.000), In at (0.250, 0.250, 0.750), Ga at (0.250, 0.250, 0.250) and Pb at (0.000, 0.000, 0.500).



# 5
DFT (GGA-PBE) results for a relaxed KPt2Br crystal.

The value obtained for the formation energy from raw total energies is 178 kJ/mol of formula units. For the energy above the lowest structure with this stoichiometry, the calculation gives 654.5 meV per atom. For the total magnetization, the calculation gives 0.53 μB/f.u.

The structure belongs to space group I-4m2 (No. 119); the cell edges are 4.914, 4.914 and 7.032 Å and the angles 90.00°, 90.00° and 90.00°. The asymmetric unit holds K at (0.000, 0.000, 0.000), Pt at (0.000, 0.000, 0.500), Pt at (0.000, 0.500, 0.750) and Br at (0.000, 0.500, 0.250).



# 6
DFT (GGA-PBE) results for a relaxed Nd5MgIn crystal.

As for the energy of formation: -30 meV per atom. For the total magnetization, the calculation gives 0.00 μB/f.u.

The structure belongs to space group C2/c (No. 15); the cell edges are 8.770, 9.229 and 11.750 Å and the angles 90.00°, 106.52° and 90.00°. The asymmetric unit holds Nd at (0.000, 0.133, 0.250), Nd at (0.117, 0.354, 0.533), Nd at (0.208, 0.202, 0.836), Mg at (0.000, 0.000, 0.000) and In at (0.000, 0.489, 0.250).



# 7
DFT (GGA-PBE) results for a relaxed SrAl3Tc crystal.

For the energy above the lowest structure with this stoichiometry, the calculation gives 182.3 meV per atom. As for the energy of formation: -140 meV per atom. For the total magnetization, the calculation gives 0.00 μB/f.u.

The structure belongs to space group P2_1/c (No. 14); the cell edges are 7.723, 5.309 and 10.787 Å and the angles 90.00°, 117.73° and 90.00°. The asymmetric unit holds Sr at (0.174, 0.176, 0.068), Al at (0.019, 0.592, 0.235), Al at (0.383, 0.140, 0.895), Al at (0.397, 0.646, 0.184) and Tc at (0.309, 0.637, 0.891).



# 8
DFT (GGA-PBE) results for a relaxed TbTmZr2As4 crystal.

As for the energy of formation: -1310 meV per atom. For the total magnetization, the calculation gives 0.00 μB/f.u.

The structure belongs to space group P2/m (No. 10); the cell edges are 6.859, 3.955 and 6.944 Å and the angles 90.00°, 109.28° and 90.00°. The asymmetric unit holds Tb at (0.000, 0.000, 0.000), Tm at (0.500, 0.500, 0.000), Zr at (0.000, 0.500, 0.500), Zr at (0.500, 0.000, 0.500), As at (0.249, 0.000, 0.739) and As at (0.256, 0.500, 0.262).



# 9
DFT (GGA-PBE) results for a relaxed Th6GaTc2 crystal.

As for the energy of formation: -175 meV per atom. For the total magnetization, the calculation gives 0.00 μB/f.u.

The structure belongs to space group Immm (No. 71); the cell edges are 9.389, 9.464 and 10.955 Å and the angles 90.00°, 90.00° and 90.00°. The asymmetric unit holds Th at (0.000, 0.195, 0.241), Th at (0.195, 0.500, 0.165), Th at (0.207, 0.318, 0.500), Ga at (0.000, 0.000, 0.000), Ga at (0.000, 0.000, 0.500), Tc at (0.000, 0.327, 0.000) and Tc at (0.000, 0.500, 0.363).



# 10
DFT (GGA-PBE) results for a relaxed CaTmCdAg crystal.

For the energy above the lowest structure with this stoichiometry, the calculation gives 31.3 meV per atom. As for the energy of formation: -290 meV per atom. For the total magnetization, the calculation gives 0.00 μB/f.u.

The structure belongs to space group F-43m (No. 216); the cell edges are 7.381, 7.381 and 7.381 Å and the angles 90.00°, 90.00° and 90.00°. The asymmetric unit holds Ca at (0.000, 0.000, 0.000), Tm at (0.000, 0.000, 0.500), Cd at (0.250, 0.250, 0.750) and Ag at (0.250, 0.250, 0.250).



# 11
DFT (GGA-PBE) results for a relaxed KB2Pt2O6 crystal.

The value obtained for the formation energy from raw total energies is -1399 kJ/mol of formula units. For the total magnetization, the calculation gives 0.67 μB/f.u.

The structure belongs to space group P-1 (No. 2); the cell edges are 5.340, 5.907 and 6.584 Å and the angles 69.59°, 68.19° and 82.24°. The asymmetric unit holds K at (0.000, 0.000, 0.000), B at (0.280, 0.297, 0.300), Pt at (0.315, 0.635, 0.632), O at (0.071, 0.281, 0.239), O at (0.274, 0.404, 0.466) and O at (0.462, 0.791, 0.790).



# 12
DFT (GGA-PBE) results for a relaxed Sr3Li2Tl3 crystal.

As for the energy of formation: -305 meV per atom. For the total magnetization, the calculation gives 0.00 μB/f.u.

The structure belongs to space group Pnma (No. 62); the cell edges are 8.710, 17.643 and 6.553 Å and the angles 90.00°, 90.00° and 90.00°. The asymmetric unit holds Sr at (0.030, 0.106, 0.131), Sr at (0.174, 0.250, 0.611), Li at (0.124, 0.603, 0.381), Tl at (0.176, 0.040, 0.597) and Tl at (0.183, 0.750, 0.611).